# 1
# PrSmInCo2 | the Open Quantum Materials Database | PBE | optimized geometry
# Total DFT energy (no corrections): -5.548 eV/atom
data_PrSmInCo2
_space_group_name_H-M_alt 'A m m 2'
_space_group_IT_number 38
_space_group_name_Hall 'A 2 -2'
_cell_length_a 4.0470
_cell_length_b 3.8656
_cell_length_c 14.1436
_cell_angle_alpha 90.00
_cell_angle_beta 90.00
_cell_angle_gamma 90.00
loop_
_atom_site_label
_atom_site_type_symbol
_atom_site_fract_x
_atom_site_fract_y
_atom_site_fract_z
Pr1 Pr 0.0000 0.0000 0.0000
Sm1 Sm 0.0000 0.0000 0.2719
In1 In 0.5000 0.0000 0.6386
Co1 Co 0.5000 0.0000 0.4235
Co2 Co 0.5000 0.0000 0.8416


# 2
# Tb2PrIn3Co3 | the Open Quantum Materials Database | PBE | optimized geometry
# Total DFT energy (no corrections): -5.106 eV/atom
data_Tb2PrIn3Co3
_space_group_name_H-M_alt 'A m m 2'
_space_group_IT_number 38
_space_group_name_Hall 'A 2 -2'
_cell_length_a 3.9012
_cell_length_b 12.8407
_cell_length_c 7.4459
_cell_angle_alpha 90.00
_cell_angle_beta 90.00
_cell_angle_gamma 90.00
loop_
_atom_site_label
_atom_site_type_symbol
_atom_site_fract_x
_atom_site_fract_y
_atom_site_fract_z
Tb1 Tb 0.0000 0.2047 0.0000
Pr1 Pr 0.0000 0.0000 0.3816
In1 In 0.5000 0.0000 0.0410
In2 In 0.5000 0.1279 0.6719
Co1 Co 0.0000 0.0000 0.7959
Co2 Co 0.5000 0.1690 0.2938


# 3
# PrInCoTe3 | the Open Quantum Materials Database | PBE | optimized geometry
# Total DFT energy (no corrections): -4.559 eV/atom
data_PrInCoTe3
_space_group_name_H-M_alt 'C m c m'
_space_group_IT_number 63
_space_group_name_Hall '-C 2c 2'
_cell_length_a 4.1861
_cell_length_b 15.3058
_cell_length_c 11.6164
_cell_angle_alpha 90.00
_cell_angle_beta 90.00
_cell_angle_gamma 90.00
loop_
_atom_site_label
_atom_site_type_symbol
_atom_site_fract_x
_atom_site_fract_y
_atom_site_fract_z
Pr1 Pr 0.0000 0.0000 0.0000
In1 In 0.0000 0.2493 0.2500
Co1 Co 0.0000 0.4738 0.7500
Te1 Te 0.0000 0.0773 0.7500
Te2 Te 0.0000 0.3596 0.5860


# 4
# PrY2In3Co3 | the Open Quantum Materials Database | PBE | optimized geometry
# Total DFT energy (no corrections): -5.514 eV/atom
data_PrY2In3Co3
_space_group_name_H-M_alt 'A m m 2'
_space_group_IT_number 38
_space_group_name_Hall 'A 2 -2'
_cell_length_a 3.8836
_cell_length_b 12.8361
_cell_length_c 7.4633
_cell_angle_alpha 90.00
_cell_angle_beta 90.00
_cell_angle_gamma 90.00
loop_
_atom_site_label
_atom_site_type_symbol
_atom_site_fract_x
_atom_site_fract_y
_atom_site_fract_z
Pr1 Pr 0.0000 0.0000 0.0000
Y1 Y 0.0000 0.2051 0.6180
In1 In 0.5000 0.0000 0.6592
In2 In 0.5000 0.1282 0.2905
Co1 Co 0.0000 0.0000 0.4143
Co2 Co 0.5000 0.1684 0.9129


# 5
# InCoTcPt | the Open Quantum Materials Database | PBE | optimized geometry
# Offset from the most stable computed form: 0.0000 eV/atom
data_InCoTcPt
_space_group_name_H-M_alt 'F -4 3 m'
_space_group_IT_number 216
_space_group_name_Hall 'F -4 2 3'
_cell_length_a 6.3388
_cell_length_b 6.3388
_cell_length_c 6.3388
_cell_angle_alpha 90.00
_cell_angle_beta 90.00
_cell_angle_gamma 90.00
loop_
_atom_site_label
_atom_site_type_symbol
_atom_site_fract_x
_atom_site_fract_y
_atom_site_fract_z
In1 In 0.0000 0.0000 0.0000
Co1 Co 0.2500 0.2500 0.2500
Tc1 Tc 0.0000 0.0000 0.5000
Pt1 Pt 0.2500 0.2500 0.7500


# 6
# InCoPtW | the Open Quantum Materials Database | PBE | optimized geometry
# Offset from the most stable computed form: 0.0000 eV/atom
data_InCoPtW
_space_group_name_H-M_alt 'F -4 3 m'
_space_group_IT_number 216
_space_group_name_Hall 'F -4 2 3'
_cell_length_a 6.3230
_cell_length_b 6.3230
_cell_length_c 6.3230
_cell_angle_alpha 90.00
_cell_angle_beta 90.00
_cell_angle_gamma 90.00
loop_
_atom_site_label
_atom_site_type_symbol
_atom_site_fract_x
_atom_site_fract_y
_atom_site_fract_z
In1 In 0.0000 0.0000 0.0000
Co1 Co 0.2500 0.2500 0.2500
Pt1 Pt 0.2500 0.2500 0.7500
W1 W 0.0000 0.0000 0.5000


# 7
# InCoPtW | the Open Quantum Materials Database | PBE | optimized geometry
# Offset from the most stable computed form: 0.0884 eV/atom
data_InCoPtW
_space_group_name_H-M_alt 'F -4 3 m'
_space_group_IT_number 216
_space_group_name_Hall 'F -4 2 3'
_cell_length_a 6.2953
_cell_length_b 6.2953
_cell_length_c 6.2953
_cell_angle_alpha 90.00
_cell_angle_beta 90.00
_cell_angle_gamma 90.00
loop_
_atom_site_label
_atom_site_type_symbol
_atom_site_fract_x
_atom_site_fract_y
_atom_site_fract_z
In1 In 0.0000 0.0000 0.0000
Co1 Co 0.2500 0.2500 0.2500
Pt1 Pt 0.0000 0.0000 0.5000
W1 W 0.2500 0.2500 0.7500


# 8
# ZrInCoPt | the Open Quantum Materials Database | PBE | optimized geometry
# Offset from the most stable computed form: 0.3131 eV/atom
data_ZrInCoPt
_space_group_name_H-M_alt 'F -4 3 m'
_space_group_IT_number 216
_space_group_name_Hall 'F -4 2 3'
_cell_length_a 6.5258
_cell_length_b 6.5258
_cell_length_c 6.5258
_cell_angle_alpha 90.00
_cell_angle_beta 90.00
_cell_angle_gamma 90.00
loop_
_atom_site_label
_atom_site_type_symbol
_atom_site_fract_x
_atom_site_fract_y
_atom_site_fract_z
Zr1 Zr 0.0000 0.0000 0.0000
In1 In 0.2500 0.2500 0.2500
Co1 Co 0.0000 0.0000 0.5000
Pt1 Pt 0.2500 0.2500 0.7500


# 9
# ZrInCoPt | the Open Quantum Materials Database | PBE | optimized geometry
# Offset from the most stable computed form: 0.0000 eV/atom
data_ZrInCoPt
_space_group_name_H-M_alt 'F -4 3 m'
_space_group_IT_number 216
_space_group_name_Hall 'F -4 2 3'
_cell_length_a 6.5069
_cell_length_b 6.5069
_cell_length_c 6.5069
_cell_angle_alpha 90.00
_cell_angle_beta 90.00
_cell_angle_gamma 90.00
loop_
_atom_site_label
_atom_site_type_symbol
_atom_site_fract_x
_atom_site_fract_y
_atom_site_fract_z
Zr1 Zr 0.0000 0.0000 0.0000
In1 In 0.0000 0.0000 0.5000
Co1 Co 0.2500 0.2500 0.7500
Pt1 Pt 0.2500 0.2500 0.2500


# 10
# PuInCo | the Open Quantum Materials Database | PBE | optimized geometry
# Total DFT energy (no corrections): -7.270 eV/atom
data_PuInCo
_space_group_name_H-M_alt 'F -4 3 m'
_space_group_IT_number 216
_space_group_name_Hall 'F -4 2 3'
_cell_length_a 6.6781
_cell_length_b 6.6781
_cell_length_c 6.6781
_cell_angle_alpha 90.00
_cell_angle_beta 90.00
_cell_angle_gamma 90.00
loop_
_atom_site_label
_atom_site_type_symbol
_atom_site_fract_x
_atom_site_fract_y
_atom_site_fract_z
Pu1 Pu 0.0000 0.0000 0.0000
In1 In 0.2500 0.2500 0.2500
Co1 Co 0.0000 0.0000 0.5000


# 11
# RbInCo | the Open Quantum Materials Database | PBE | optimized geometry
# Offset from the most stable computed form: 0.0000 eV/atom
data_RbInCo
_space_group_name_H-M_alt 'F -4 3 m'
_space_group_IT_number 216
_space_group_name_Hall 'F -4 2 3'
_cell_length_a 7.0138
_cell_length_b 7.0138
_cell_length_c 7.0138
_cell_angle_alpha 90.00
_cell_angle_beta 90.00
_cell_angle_gamma 90.00
loop_
_atom_site_label
_atom_site_type_symbol
_atom_site_fract_x
_atom_site_fract_y
_atom_site_fract_z
Rb1 Rb 0.0000 0.0000 0.0000
In1 In 0.0000 0.0000 0.5000
Co1 Co 0.2500 0.2500 0.7500


# 12
# RbInCo | the Open Quantum Materials Database | PBE | optimized geometry
# Offset from the most stable computed form: 0.5534 eV/atom
data_RbInCo
_space_group_name_H-M_alt 'F -4 3 m'
_space_group_IT_number 216
_space_group_name_Hall 'F -4 2 3'
_cell_length_a 7.9037
_cell_length_b 7.9037
_cell_length_c 7.9037
_cell_angle_alpha 90.00
_cell_angle_beta 90.00
_cell_angle_gamma 90.00
loop_
_atom_site_label
_atom_site_type_symbol
_atom_site_fract_x
_atom_site_fract_y
_atom_site_fract_z
Rb1 Rb 0.0000 0.0000 0.0000
In1 In 0.2500 0.2500 0.2500
Co1 Co 0.2500 0.2500 0.7500


> What is the formula in the twelfth record?

RbInCo